16
Lattice="-4.477 2.669 -0.368 -2.022 -2.858 3.878 7.055 13.738 13.805" Properties=species:S:1:pos:R:3 comment="PBE Ac3Nd12Zn, optimized geometry" volume_a3_per_cell=565.5 energy_ev_per_atom=-4.40 n_ef_per_ev_cell=24.04 space_group="No. 123" ef_ev_per_atom=0.030 pbc="T T T"
Ac 1.699 3.308 3.324
Ac 3.528 6.869 6.902
Ac 5.357 10.430 10.481
Nd -3.250 -0.095 1.755
Nd -1.573 3.169 5.035
Nd 0.278 6.774 8.658
Nd 2.130 10.379 12.280
Nd -1.452 2.865 1.354
Nd 0.375 6.422 4.929
Nd 2.204 9.985 8.509
Nd 4.031 13.541 12.083
Nd -0.225 0.102 3.477
Nd 1.602 3.658 7.051
Nd 3.431 7.221 10.631
Nd 5.258 10.778 14.206
Zn 0.000 0.000 0.000

4
Lattice="-0.788 -2.644 4.922 1.263 -5.477 0.494 4.445 -1.604 3.084" Properties=species:S:1:pos:R:3 comment="PBE AcNd2Zn, optimized geometry" volume_a3_per_cell=127.0 polymorph_energy_kcal_per_mol_atoms=6.17 energy_ev_per_atom=-3.60 n_ef_per_ev_cell=5.21 space_group="No. 225" ef_ev_per_atom=0.131 pbc="T T T"
Ac 0.000 0.000 0.000
Nd 1.230 -2.431 2.125
Nd 3.690 -7.294 6.375
Zn 2.460 -4.863 4.250

10
Lattice="3.736 0.000 0.000 0.000 3.736 0.000 0.000 0.000 18.619" Properties=species:S:1:pos:R:3 comment="PBE AcNd4Zn5, optimized geometry" volume_a3_per_cell=259.9 energy_ev_per_atom=-3.24 n_ef_per_ev_cell=12.21 space_group="No. 123" ef_ev_per_atom=-0.287 pbc="T T T"
Ac 0.000 0.000 0.000
Nd 0.000 0.000 3.863
Nd 0.000 0.000 7.491
Nd 0.000 0.000 11.128
Nd 0.000 0.000 14.756
Zn 1.868 1.868 2.109
Zn 1.868 1.868 5.665
Zn 1.868 1.868 9.310
Zn 1.868 1.868 12.954
Zn 1.868 1.868 16.510

6
Lattice="3.764 0.000 0.000 0.000 3.764 0.000 0.000 0.000 11.274" Properties=species:S:1:pos:R:3 comment="PBE AcNd2Zn3, optimized geometry" volume_a3_per_cell=159.8 energy_ev_per_atom=-3.19 n_ef_per_ev_cell=7.70 space_group="No. 123" ef_ev_per_atom=-0.274 pbc="T T T"
Ac 1.882 1.882 5.637
Nd 1.882 1.882 9.474
Nd 1.882 1.882 1.800
Zn 0.000 0.000 0.000
Zn 0.000 0.000 7.728
Zn 0.000 0.000 3.545

12
Lattice="5.639 0.000 0.000 2.820 4.884 0.000 2.820 1.628 8.761" Properties=species:S:1:pos:R:3 comment="PBE AcNd2Zn9, optimized geometry" volume_a3_per_cell=241.3 energy_ev_per_atom=-2.38 n_ef_per_ev_cell=7.78 space_group="No. 166" ef_ev_per_atom=-0.290 pbc="T T T"
Ac 0.000 0.000 0.000
Nd 8.459 4.884 3.761
Nd 2.820 1.628 5.000
Zn 5.639 3.256 0.049
Zn 5.639 3.256 8.712
Zn 5.639 3.256 4.381
Zn 4.209 2.430 2.170
Zn 7.069 2.430 2.170
Zn 5.639 4.907 2.170
Zn 7.069 4.081 6.591
Zn 5.639 1.605 6.591
Zn 4.209 4.081 6.591

8
Lattice="3.838 0.000 -0.618 -0.211 5.461 -1.313 -0.043 -0.019 11.955" Properties=species:S:1:pos:R:3 comment="PBE Ac3Nd2Zn3, optimized geometry" volume_a3_per_cell=250.3 energy_ev_per_atom=-3.40 n_ef_per_ev_cell=9.05 space_group="No. 71" ef_ev_per_atom=-0.190 pbc="T T T"
Ac 1.348 2.065 8.372
Ac 2.235 3.376 1.652
Ac 1.919 0.000 -0.309
Nd 0.849 4.193 5.272
Nd 2.734 1.249 4.752
Zn 3.150 4.779 7.335
Zn -0.106 2.731 -0.657
Zn 0.433 0.663 2.689

12
Lattice="5.273 -0.008 -1.480 -3.949 7.654 -3.956 -0.210 -1.102 9.411" Properties=species:S:1:pos:R:3 comment="PBE Ac5NdZn6, optimized geometry" volume_a3_per_cell=347.8 energy_ev_per_atom=-3.00 n_ef_per_ev_cell=9.93 space_group="No. 12" ef_ev_per_atom=-0.254 pbc="T T T"
Ac 1.796 0.370 6.417
Ac -1.459 1.823 4.946
Ac 0.557 3.272 1.987
Ac -2.700 4.729 0.509
Ac -0.682 6.174 -2.443
Nd 0.000 0.000 0.000
Zn 0.875 0.169 3.128
Zn 1.450 3.540 5.175
Zn 2.900 1.537 0.195
Zn -1.786 5.007 3.779
Zn -0.336 3.004 -1.200
Zn 0.239 6.375 0.847

80
Lattice="16.291 0.000 0.000 -5.430 15.359 0.000 -5.430 -7.679 13.301" Properties=species:S:1:pos:R:3 comment="PBE Ac5Nd12Zn3, optimized geometry" volume_a3_per_cell=3328.0 energy_ev_per_atom=-3.34 n_ef_per_ev_cell=150.06 space_group="No. 230" ef_ev_per_atom=0.742 pbc="T T T"
Zn 9.503 4.800 1.663
Zn 9.503 10.559 1.663
Zn -1.358 6.720 8.313
Zn 1.358 -0.960 4.988
Zn 12.218 0.000 3.325
Zn 1.358 7.679 3.325
Zn 4.073 0.000 9.976
Zn -6.788 7.679 9.976
Zn 4.073 8.639 8.313
Zn 6.788 0.960 4.988
Zn -4.073 -2.880 11.639
Zn -4.073 2.880 11.639
Ac -1.358 3.840 3.325
Ac -2.715 7.679 0.000
Ac 0.000 0.000 0.000
Ac 4.073 2.880 1.663
Ac 5.430 -3.840 6.651
Ac 5.430 7.679 0.000
Ac -4.073 8.639 4.988
Ac 6.788 -4.800 11.639
Ac 6.788 6.720 4.988
Ac 1.358 -3.840 9.976
Ac 4.073 11.519 3.325
Ac 2.715 3.840 6.651
Ac 8.145 0.000 0.000
Ac -2.715 -3.840 6.651
Ac -1.358 0.960 8.313
Ac -1.358 12.479 1.663
Ac -5.430 3.840 6.651
Ac 9.503 -0.960 8.313
Ac 1.358 4.800 11.639
Ac 6.788 3.840 9.976
Nd 10.833 1.548 1.184
Nd 0.027 5.639 5.902
Nd 11.520 3.475 3.417
Nd 7.486 2.618 1.932
Nd 2.152 6.390 8.700
Nd 10.983 7.360 2.050
Nd -0.659 8.537 5.349
Nd -4.771 12.741 1.932
Nd 0.563 8.969 8.700
Nd 8.022 7.999 2.050
Nd 8.172 3.589 4.718
Nd 8.172 13.811 1.184
Nd -4.867 6.890 7.834
Nd 2.838 6.064 1.301
Nd -5.457 11.770 4.718
Nd 2.742 -2.041 7.399
Nd -0.563 0.500 3.234
Nd 2.838 9.614 0.749
Nd 7.486 11.883 3.417
Nd -0.123 5.745 0.749
Nd -3.278 8.180 10.068
Nd 3.374 6.822 5.349
Nd 7.582 8.469 7.834
Nd 5.553 -1.616 12.000
Nd 2.056 0.857 7.952
Nd -2.152 -0.789 5.467
Nd -0.123 9.295 1.301
Nd -2.056 -4.204 9.884
Nd 8.708 -0.500 3.234
Nd 5.553 1.935 12.553
Nd 2.592 -1.935 12.553
Nd 2.688 9.720 5.902
Nd 5.993 7.179 10.068
Nd 10.887 -4.091 8.583
Nd 10.297 0.789 5.467
Nd -2.742 -6.132 12.118
Nd 2.592 1.616 12.000
Nd 4.867 -1.289 4.601
Nd -2.592 -0.319 11.251
Nd -2.742 4.091 8.583
Nd 10.201 -5.061 11.369
Nd 6.089 -0.857 7.952
Nd -2.056 5.061 11.369
Nd -5.553 0.319 11.251
Nd 3.278 1.289 4.601
Nd -6.089 4.204 9.884
Nd 5.403 2.041 7.399
Nd -5.403 6.132 12.118